# 1
Density functional theory data (PBE) for a geometry-optimized MgPdSe structure.

Calculated values
Symmetry: Pnma, No. 62
Calculated total energy, eV/atom: -3.96

a b c (Å): 5.8105 7.2424 5.3917
angles (deg): 90.00 90.00 90.00
With the nearest neighbours (Å) after each atom.
Element x y z (fractional)
Pd 0.7055 0.7500 0.8254  4 Se 2.66-2.79, 3 Mg 2.70-2.93
Pd 0.7945 0.2500 0.3254  4 Se 2.66-2.79, 3 Mg 2.70-2.93
Pd 0.2945 0.2500 0.1746  4 Se 2.66-2.79, 3 Mg 2.70-2.93
Pd 0.2055 0.7500 0.6746  4 Se 2.66-2.79, 3 Mg 2.70-2.93
Mg 0.6553 0.2500 0.8473  3 Pd 2.70-2.93, 4 Se 2.76-2.82
Mg 0.8447 0.7500 0.3473  3 Pd 2.70-2.93, 4 Se 2.76-2.82
Mg 0.1553 0.2500 0.6527  3 Pd 2.70-2.93, 4 Se 2.76-2.82
Mg 0.3447 0.7500 0.1527  3 Pd 2.70-2.93, 4 Se 2.76-2.82
Se 0.0000 0.0000 0.0000  4 Pd 2.66-2.79, 4 Mg 2.76-2.82
Se 0.5000 0.0000 0.5000  4 Pd 2.66-2.79, 4 Mg 2.76-2.82
Se 0.5000 0.5000 0.5000  4 Pd 2.66-2.79, 4 Mg 2.76-2.82
Se 0.0000 0.5000 0.0000  4 Pd 2.66-2.79, 4 Mg 2.76-2.82


# 2
Density functional theory data (PBE) for a geometry-optimized Ac2PtS structure.

Calculated values
Excess energy over the best structure of this formula in the dataset, meV/atom: 850
Symmetry: R-3m, No. 166

a b c (Å): 4.1925 4.1925 9.4525
angles (deg): 77.19 77.19 60.00
With the nearest neighbours (Å) after each atom.
Element x y z (fractional)
S 0.5000 0.5000 0.5000  6 Ac 3.03
Ac 0.8997 0.8997 0.3010  1 Pt 2.75, 3 S 3.03
Ac 0.1003 0.1003 0.6990  1 Pt 2.75, 3 S 3.03
Pt 0.0000 0.0000 0.0000  2 Ac 2.75


# 3
Density functional theory data (PBE) for a geometry-optimized YSIN2 structure.

Calculated values
Excess energy over the best structure of this formula in the dataset, meV/atom: 0
Symmetry: P4/mmm, No. 123

a b c (Å): 4.6199 4.6199 5.6183
angles (deg): 90.00 90.00 90.00
With the nearest neighbours (Å) after each atom.
Element x y z (fractional)
N 0.5000 0.0000 0.0000  2 Y 2.31
N 0.0000 0.5000 0.0000  2 Y 2.31
S 0.0000 0.0000 0.5000  2 Y 2.81
I 0.5000 0.5000 0.5000  4 S 3.27, 8 N 3.64
Y 0.0000 0.0000 0.0000  4 N 2.31


# 4
Density functional theory data (PBE) for a geometry-optimized La3Ce2PmTe6 structure.

Calculated values
Symmetry: C2/m, No. 12
Calculated total energy, eV/atom: -5.68

a b c (Å): 7.8277 7.8277 7.9007
angles (deg): 99.51 99.51 120.10
With the nearest neighbours (Å) after each atom.
Element x y z (fractional)
La 0.8343 0.1657 0.5000  6 Te 3.22-3.24
La 0.1657 0.8343 0.5000  6 Te 3.22-3.24
La 0.5000 0.5000 0.5000  6 Te 3.23-3.24
Ce 0.3335 0.6665 0.0000  6 Te 3.18
Ce 0.6665 0.3335 0.0000  6 Te 3.18
Te 0.2517 0.2517 0.7565  1 Pm 3.17, 2 Ce 3.18, 3 La 3.22-3.24
Te 0.7482 0.7482 0.2435  1 Pm 3.17, 2 Ce 3.18, 3 La 3.22-3.24
Te 0.4142 0.0812 0.2440  1 Pm 3.18, 2 Ce 3.18, 3 La 3.23-3.24
Te 0.5858 0.9188 0.7560  1 Pm 3.18, 2 Ce 3.18, 3 La 3.23-3.24
Te 0.0812 0.4142 0.2440  1 Pm 3.18, 2 Ce 3.18, 3 La 3.23-3.24
Te 0.9188 0.5858 0.7560  1 Pm 3.18, 2 Ce 3.18, 3 La 3.23-3.24
Pm 0.0000 0.0000 0.0000  6 Te 3.17-3.18


# 5
Density functional theory data (PBE) for a geometry-optimized CaAl2Cu5 structure.

Calculated values
Symmetry: Immm, No. 71
Energy of formation, eV/atom: -0.108

a b c (Å): 3.6522 6.4015 6.4015
angles (deg): 64.92 73.43 73.43
With the nearest neighbours (Å) after each atom.
Element x y z (fractional)
Cu 0.3703 0.8169 0.4425  3 Al 2.48-2.54, 4 Cu 2.57-2.64
Cu 0.6297 0.5575 0.1831  3 Al 2.48-2.54, 4 Cu 2.57-2.64
Cu 0.0000 0.5000 0.5000  2 Al 2.52, 8 Cu 2.59
Cu 0.3703 0.4425 0.8169  3 Al 2.48-2.54, 4 Cu 2.57-2.64
Cu 0.6297 0.1831 0.5575  3 Al 2.48-2.54, 4 Cu 2.57-2.64
Ca 0.0000 0.0000 0.0000  10 Cu 3.11-3.44, 4 Al 3.15
Al 0.2477 0.2523 0.2523  7 Cu 2.48-2.54
Al 0.7523 0.7477 0.7477  7 Cu 2.48-2.54


# 6
Density functional theory data (PBE) for a geometry-optimized Pu2Hg6Au3 structure.

Calculated values
Symmetry: P-62m, No. 189
Energy of formation, eV/atom: -0.047

a b c (Å): 4.4037 8.5055 8.5055
angles (deg): 120.00 90.00 90.00
With the nearest neighbours (Å) after each atom.
Element x y z (fractional)
Hg 0.0000 0.7956 0.0000  2 Au 2.80, 6 Hg 3.01-3.05
Hg 0.0000 0.0000 0.7956  2 Au 2.80, 6 Hg 3.01-3.05
Hg 0.0000 0.2044 0.2044  2 Au 2.80, 6 Hg 3.01-3.05
Hg 0.5000 0.2762 0.0000  1 Au 2.69
Hg 0.5000 0.7238 0.7238  1 Au 2.69
Hg 0.5000 0.0000 0.2762  1 Au 2.69
Au 0.5000 0.4071 0.4071  3 Hg 2.69-2.80
Au 0.5000 0.5929 0.0000  3 Hg 2.69-2.80
Au 0.5000 0.0000 0.5929  3 Hg 2.69-2.80
Pu 0.0000 0.6667 0.3333  6 Au 3.39, 3 Hg 3.51
Pu 0.0000 0.3333 0.6667  6 Au 3.39, 3 Hg 3.51


| no. | density (g/cm³) |
| --- | --- |
| 1 | 6.14 |
| 2 | 8.13 |
| 3 | 3.82 |
| 4 | 6.75 |
| 5 | 5.36 |
| 6 | 13.74 |